# 1
GGA-PBE ZnGa3I, optimized geometry; offset from the most stable computed form = 0 meV/atom; magnetic moment = 0.00 μB per cell; formation energy without anion corrections = 88 meV/atom; V = 129.91 Å³/cell
1.0
-2.714 -3.758 -2.040
2.105 0.930 -4.512
3.722 -3.266 1.063
Zn I Ga
1 1 3
Direct
0.000 0.000 0.000 Zn
0.500 0.500 0.500 I
0.000 0.000 0.500 Ga
0.000 0.500 0.000 Ga
0.500 0.000 0.000 Ga

=====

# 2
GGA-PBE ZnGaI3, optimized geometry; offset from the most stable computed form = 35 meV/atom; magnetic moment = 0.00 μB per cell; formation energy without anion corrections = -432 meV/atom; V = 886.16 Å³/cell
1.0
-1.688 -4.022 -6.068
1.476 -7.950 4.858
-12.088 -0.134 3.452
I Zn Ga
12 4 4
Direct
0.641 0.684 0.576 I
0.172 0.510 0.750 I
0.859 0.184 0.576 I
0.641 0.684 0.924 I
0.141 0.816 0.076 I
0.859 0.184 0.924 I
0.328 0.010 0.750 I
0.359 0.316 0.424 I
0.672 0.990 0.250 I
0.359 0.316 0.076 I
0.141 0.816 0.424 I
0.828 0.490 0.250 I
0.523 0.366 0.250 Zn
0.977 0.866 0.250 Zn
0.477 0.634 0.750 Zn
0.023 0.134 0.750 Zn
0.500 0.000 0.000 Ga
0.500 0.000 0.500 Ga
0.000 0.500 0.500 Ga
0.000 0.500 0.000 Ga

=====

# 3
GGA-PBE Zn3GaI, optimized geometry; offset from the most stable computed form = 0 meV/atom; magnetic moment = 0.00 μB per cell; formation energy without anion corrections = 97 meV/atom; V = 123.34 Å³/cell
1.0
-3.738 1.660 -2.838
-1.469 -4.687 -0.806
-2.941 0.232 4.009
Zn I Ga
3 1 1
Direct
0.000 0.500 0.000 Zn
0.000 0.000 0.500 Zn
0.500 0.000 0.000 Zn
0.500 0.500 0.500 I
0.000 0.000 0.000 Ga